5
Lattice="5.111 0.000 0.000 0.000 5.111 0.000 0.000 0.000 5.111" Properties=species:S:1:pos:R:3 comment="Mn3BiB, optimized geometry, DFT PBE-GGA" ef_ev_per_atom=2.04 mass_density_g_cm3=4.78 volume_a3_per_atom=26.702 pbc="T T T"
B 2.555 2.555 2.555
Mn 0.000 2.555 0.000
Mn 0.000 0.000 2.555
Mn 2.555 0.000 0.000
Bi 0.000 0.000 0.000

---

4
Lattice="-2.220 -3.116 2.949 -2.506 -1.771 -3.757 2.518 -2.340 -0.576" Properties=species:S:1:pos:R:3 comment="Ag2AuBr, optimized geometry, DFT PBE-GGA" mass_density_g_cm3=10.01 e_form_raw_ev_per_atom=0.113 volume_a3_per_atom=20.420 pbc="T T T"
Au 0.149 -2.728 1.187
Br 0.006 -2.056 -2.167
Ag 0.000 0.000 0.000
Ag -2.363 -2.444 -0.404

---

10
Lattice="-1.366 -3.264 1.084 -1.486 -2.163 -8.389 6.698 -4.112 -3.942" Properties=species:S:1:pos:R:3 comment="Tm3ZnPd, optimized geometry, DFT PBE-GGA" ef_ev_per_atom=-0.31 mass_density_g_cm3=8.66 volume_a3_per_atom=26.028 pbc="T T T"
Tm 3.758 -7.052 -5.589
Tm 1.817 -7.727 -10.069
Tm -1.758 -4.354 -4.431
Tm 0.036 -1.622 -0.247
Tm 0.640 -6.305 -7.288
Tm 1.696 -3.619 -4.169
Zn 3.472 -5.757 -8.372
Zn 0.187 -4.253 -1.663
Pd 0.123 -3.697 -6.402
Pd 4.215 -4.676 -4.176

---

14
Lattice="-0.966 -5.292 -1.879 8.170 -5.110 1.550 -6.281 -4.131 6.224" Properties=species:S:1:pos:R:3 comment="Pm3Nd3Dy8, optimized geometry, DFT PBE-GGA" ef_ev_per_atom=0.11 mass_density_g_cm3=7.68 volume_a3_per_atom=33.490 pbc="T T T"
Pm 0.461 -7.266 2.947
Pm -0.398 -6.078 0.043
Pm 1.320 -8.454 5.851
Nd -0.483 -2.646 -0.940
Nd 5.484 -4.928 2.418
Nd -3.596 -4.313 5.355
Dy -3.183 -6.414 2.422
Dy 4.105 -8.118 3.472
Dy 3.185 -6.846 0.362
Dy -2.264 -7.687 5.532
Dy 1.917 -10.643 3.070
Dy -0.995 -3.889 2.825
Dy -1.050 -10.442 4.029
Dy 1.971 -4.090 1.865

---

5
Lattice="-1.737 1.389 -6.112 5.736 -2.204 -2.131 -2.527 -5.959 -0.637" Properties=species:S:1:pos:R:3 comment="K3CaRe, optimized geometry, DFT PBE-GGA" ef_ev_per_atom=1.43 mass_density_g_cm3=2.07 volume_a3_per_atom=55.023 pbc="T T T"
Re 0.000 0.000 0.000
Ca 0.736 -3.387 -4.440
K 2.868 -1.102 -1.066
K -1.263 -2.980 -0.318
K -0.869 0.695 -3.056

---

7
Lattice="-0.172 -2.795 -5.523 -2.142 -5.157 2.677 -4.530 5.920 0.617" Properties=species:S:1:pos:R:3 comment="Tm2GaSe4, optimized geometry, DFT PBE-GGA" mass_density_g_cm3=5.17 e_form_raw_ev_per_atom=-1.145 volume_a3_per_atom=33.216 pbc="T T T"
Tm -2.930 -0.426 -3.165
Tm -3.915 -1.606 0.935
Ga -1.157 -3.976 -1.423
Se -2.008 -2.927 -3.661
Se -2.991 -4.107 0.434
Se -4.923 -0.501 -1.327
Se -3.767 3.471 0.095

---

8
Lattice="4.509 0.000 0.000 0.000 4.509 0.000 2.254 2.254 6.078" Properties=species:S:1:pos:R:3 comment="ZrBiH2, optimized geometry, DFT PBE-GGA" mass_density_g_cm3=8.12 volume_a3_per_atom=15.445 e_tot_ev_per_atom=-4.8823 pbc="T T T"
H 2.262 1.127 1.519
H 2.247 3.382 1.519
H 3.382 4.501 4.558
H 5.636 4.516 4.558
Bi 0.000 0.000 0.000
Bi 4.509 2.254 3.039
Zr 2.254 2.254 0.000
Zr 2.254 4.509 3.039

---

10
Lattice="-0.481 -2.697 1.742 1.009 -1.799 -2.507 19.458 1.088 7.054" Properties=species:S:1:pos:R:3 comment="HoPu4Ge5, optimized geometry, DFT PBE-GGA" ef_ev_per_atom=-0.48 mass_density_g_cm3=11.43 volume_a3_per_atom=21.848 pbc="T T T"
Ho 0.000 0.000 0.000
Pu 3.871 0.216 1.403
Pu 7.774 0.435 2.818
Pu 11.685 0.653 4.236
Pu 15.588 0.872 5.651
Ge 2.181 -2.141 0.312
Ge 6.091 -1.922 1.730
Ge 9.994 -1.704 3.145
Ge 13.896 -1.486 4.559
Ge 17.806 -1.267 5.977

---

12
Lattice="4.017 0.000 0.000 0.000 8.028 0.193 -2.008 -2.409 8.313" Properties=species:S:1:pos:R:3 comment="Er6As2HSe3, optimized geometry, DFT PBE-GGA" mass_density_g_cm3=8.56 volume_a3_per_atom=22.495 e_tot_ev_per_atom=-5.5895 pbc="T T T"
Er 0.000 5.710 6.025
Er 2.008 3.822 2.931
Er 2.008 -0.091 2.481
Er 2.008 -0.461 8.313
Er 0.000 6.081 0.193
Er 0.000 1.798 5.575
As 2.008 3.761 5.735
As 0.000 1.858 2.771
H 2.008 0.000 0.000
Se 2.008 4.014 0.096
Se 2.008 -0.265 5.439
Se 0.000 5.884 3.067

---

12
Lattice="7.286 0.000 0.000 0.000 7.286 0.000 0.000 0.000 5.254" Properties=species:S:1:pos:R:3 comment="ErGa4Os, optimized geometry, DFT PBE-GGA" ef_ev_per_atom=0.00 mass_density_g_cm3=7.58 volume_a3_per_atom=23.240 pbc="T T T"
Er 0.000 0.000 2.627
Er 3.643 3.643 0.000
Ga 2.415 0.000 0.039
Ga 4.871 0.000 0.039
Ga 0.000 4.871 5.215
Ga 0.000 2.415 5.215
Ga 3.643 1.228 2.666
Ga 6.058 3.643 2.588
Ga 1.228 3.643 2.588
Ga 3.643 6.058 2.666
Os 0.000 0.000 0.000
Os 3.643 3.643 2.627

---

3
Lattice="4.579 -0.005 -0.002 1.927 4.154 0.002 -2.892 -2.642 2.373" Properties=species:S:1:pos:R:3 comment="TcRuSe, optimized geometry, DFT PBE-GGA" mass_density_g_cm3=10.22 e_form_raw_ev_per_atom=0.370 volume_a3_per_atom=15.057 pbc="T T T"
Ru 0.045 0.028 0.000
Se 2.166 1.381 0.000
Tc 4.297 2.740 0.000

---

4
Lattice="-2.856 0.486 -0.210 -0.574 -1.471 4.395 0.659 4.573 1.617" Properties=species:S:1:pos:R:3 comment="Os2RhPb, optimized geometry, DFT PBE-GGA" ef_ev_per_atom=0.80 mass_density_g_cm3=17.27 volume_a3_per_atom=16.599 pbc="T T T"
Os 0.000 0.000 0.000
Os -1.715 -0.493 2.092
Rh 0.042 1.551 3.006
Pb -1.099 2.529 0.703